Here is Nd3Zn2Hg6 after structural relaxation from Alexandria via LeMat-Bulk. Energies are from PBE.

Lattice parameters (Å, degrees): 4.278 4.278 15.926 97.72 97.72 90.00
Positions (direct):
Zn 0.362 0.362 0.723
Zn 0.638 0.638 0.277
Hg 0.422 0.922 0.843
Hg 0.274 0.274 0.548
Hg 0.726 0.726 0.452
Hg 0.078 0.578 0.157
Hg 0.578 0.078 0.157
Hg 0.922 0.422 0.843
Nd 0.000 0.000 0.000
Nd 0.172 0.172 0.343
Nd 0.828 0.828 0.657

Summary:
Spin magnetization = 0.000 μB per atom
Formation enthalpy at 0 K = -231.6 meV/atom
Raw total energy = -1.928 eV/atom